[1]
VASP calculation (GGA-PBE) on a relaxed structure of Bi2OsAu.

Energy above the most stable polymorph in this dataset   62.3 meV/atom
N(E_F)   0.672 states/eV/atom

abc: 6.5527 6.5527 11.6404
angles: 90.00 90.00 90.00
With the nearest neighbours (Å) after each atom.
Space group I-42d (No. 122)
One atom of each set of equivalent atoms:
Bi  0.2238  0.2500  0.1250  2 Os 2.64, 2 Au 2.84
Os  0.0000  0.0000  0.0000  4 Bi 2.64
Au  0.0000  0.0000  0.5000  4 Bi 2.84

***

[2]
VASP calculation (GGA-PBE) on a relaxed structure of BiOs3Au.

Energy above the most stable polymorph in this dataset   0.0 meV/atom
N(E_F)   1.149 states/eV/atom

abc: 4.9182 4.9182 4.9182
angles: 90.00 90.00 90.00
With the nearest neighbours (Å) after each atom.
Space group Pm-3m (No. 221)
One atom of each set of equivalent atoms:
Bi  0.0000  0.0000  0.0000  12 Os 3.48
Os  0.0000  0.5000  0.5000  2 Au 2.46
Au  0.5000  0.5000  0.5000  6 Os 2.46

***

[3]
VASP calculation (GGA-PBE) on a relaxed structure of Rb2BiOsAu.

N(E_F)   0.458 states/eV/atom

abc: 6.6148 6.6148 5.1073
angles: 90.00 90.00 90.00
With the nearest neighbours (Å) after each atom.
Space group P4/mmm (No. 123)
One atom of each set of equivalent atoms:
Rb  0.0000  0.5000  0.0000  2 Os 3.31
Bi  0.0000  0.0000  0.5000  2 Os 2.55
Os  0.0000  0.0000  0.0000  2 Bi 2.55
Au  0.5000  0.5000  0.5000  8 Rb 4.18, 4 Bi 4.68

***

| no. | calculated formation energy (kcal/mol of atoms) |
| --- | --- |
| 1 | 17.58 |
| 2 | 60.53 |
| 3 | 17.00 |